*one*
Density functional theory data (PBE) for Sm2GaAg2 after structural relaxation.

```
Sm2GaAg2
1.0
4.466 0.000 0.000
2.233 5.368 -0.411
2.233 0.130 10.086
Sm Ga Ag
4 2 4
direct
0.676 0.307 0.342
0.921 0.273 0.886
0.324 0.693 0.658
0.079 0.727 0.114
0.610 0.113 0.667
0.390 0.887 0.333
0.089 0.263 0.559
0.637 0.841 0.884
0.911 0.737 0.441
0.363 0.159 0.116
```

***

*two*
Density functional theory data (PBE) for Sm2GaAg2 after structural relaxation.

```
Sm2GaAg2
1.0
-0.362 -7.646 -0.176
3.827 -6.590 0.743
0.183 -4.262 4.068
Sm Ga Ag
2 1 2
direct
0.709 0.709 0.805
0.291 0.291 0.195
0.000 0.000 0.000
0.415 0.415 0.464
0.585 0.585 0.536
```

***

From most stable to least stable, the computed energies give *one*, *two*.

***

*one*
Density functional theory data (PBE) for Sm2Ga3Ag2 after structural relaxation.

```
Sm2Ga3Ag2
1.0
-3.347 0.821 -2.568
-4.331 0.895 5.930
3.823 8.879 1.452
Sm Ga Ag
4 6 4
direct
0.155 0.250 0.310
0.845 0.750 0.690
0.943 0.250 0.887
0.057 0.750 0.113
0.227 0.750 0.454
0.773 0.250 0.546
0.557 0.422 0.113
0.443 0.578 0.887
0.443 0.922 0.887
0.557 0.078 0.113
0.686 0.944 0.373
0.314 0.056 0.627
0.314 0.444 0.627
0.686 0.556 0.373
```

***

*two*
Density functional theory data (PBE) for Sm2Ga3Ag2 after structural relaxation.

```
Sm2Ga3Ag2
1.0
4.504 0.000 0.000
-2.252 5.373 0.083
0.000 -2.753 6.119
Sm Ga Ag
2 3 2
direct
0.847 0.695 0.229
0.153 0.305 0.771
0.500 0.000 0.000
0.594 0.187 0.428
0.406 0.813 0.572
0.853 0.706 0.749
0.147 0.294 0.251
```

***

From most stable to least stable, the computed energies give *one*, *two*.

***

*one*
Density functional theory data (PBE) for GaAg5Sn after structural relaxation.

```
GaAg5Sn
1.0
5.323 0.119 -0.889
-0.809 6.820 -3.929
0.244 -0.292 7.409
Ga Ag Sn
2 10 2
direct
0.750 0.252 0.500
0.250 0.748 0.500
0.494 0.783 0.870
0.355 0.959 0.298
0.994 0.587 0.870
0.750 0.606 0.500
0.145 0.161 0.702
0.855 0.839 0.298
0.250 0.394 0.500
0.006 0.413 0.130
0.645 0.041 0.702
0.506 0.217 0.130
0.000 0.000 0.000
0.500 0.500 0.000
```

***

*two*
Density functional theory data (PBE) for GaAg5Sn after structural relaxation.

```
GaAg5Sn
1.0
5.106 0.022 -0.748
1.640 4.835 -0.748
1.574 1.133 10.779
Ga Ag Sn
2 10 2
direct
0.000 0.000 0.000
0.000 0.000 0.500
0.865 0.599 0.114
0.135 0.401 0.614
0.599 0.865 0.614
0.892 0.108 0.250
0.599 0.865 0.886
0.401 0.135 0.114
0.108 0.892 0.750
0.401 0.135 0.386
0.865 0.599 0.386
0.135 0.401 0.886
0.375 0.625 0.250
0.625 0.375 0.750
```

***

From most stable to least stable, the computed energies give *one*, *two*.

***

*one*
Density functional theory data (PBE) for GaAg2Sn after structural relaxation.

```
GaAg2Sn
1.0
4.494 0.000 0.000
2.247 3.892 0.000
2.247 1.297 4.901
Ga Ag Sn
1 2 1
direct
0.681 0.681 0.956
0.063 0.063 0.812
0.269 0.269 0.194
0.487 0.487 0.538
```

***

*two*
Density functional theory data (PBE) for GaAg2Sn after structural relaxation.

```
GaAg2Sn
1.0
1.945 0.050 4.474
3.138 3.518 1.257
-1.336 3.430 3.202
Ga Sn Ag
1 1 2
direct
0.000 0.000 0.000
0.500 0.500 0.500
0.250 0.250 0.250
0.750 0.750 0.750
```

***

From most stable to least stable, the computed energies give *one*, *two*.

***

*one*
Density functional theory data (PBE) for GaAg2Sn after structural relaxation.

```
GaAg2Sn
1.0
-1.456 -3.005 -0.803
3.065 -1.234 -0.940
1.074 -2.243 6.448
Ga Sn Ag
1 1 2
direct
0.500 0.500 0.000
0.500 0.500 0.500
0.000 0.000 0.780
0.000 0.000 0.220
```

***

*two*
Density functional theory data (PBE) for GaAg2Sn after structural relaxation.

```
GaAg2Sn
1.0
4.256 0.000 0.000
0.000 4.256 0.000
2.128 2.128 9.392
Ga Sn Ag
2 2 4
direct
0.500 0.500 0.000
0.250 0.750 0.500
0.000 0.000 0.000
0.750 0.250 0.500
0.611 0.125 0.250
0.139 0.625 0.250
0.375 0.389 0.750
0.875 0.861 0.750
```

***

From most stable to least stable, the computed energies give *one*, *two*.

***

*one*
Density functional theory data (PBE) for GaAg2Sn after structural relaxation.

```
GaAg2Sn
1.0
-0.618 -0.115 -4.211
1.323 -4.136 -0.081
-4.088 -1.321 0.636
Ga Sn Ag
1 1 2
direct
0.500 0.500 0.500
0.500 0.000 0.000
0.000 0.000 0.500
0.000 0.500 0.000
```

***

*two*
Density functional theory data (PBE) for GaAg2Sn after structural relaxation.

```
GaAg2Sn
1.0
0.658 -0.102 -4.577
1.729 -5.443 0.370
-6.222 -1.880 1.415
Ga Ag Sn
2 4 2
direct
0.154 0.750 0.605
0.846 0.250 0.395
0.270 0.498 0.279
0.730 0.502 0.721
0.730 0.998 0.721
0.270 0.002 0.279
0.679 0.750 0.101
0.321 0.250 0.899
```

***

From most stable to least stable, the computed energies give *two*, *one*.

***

*one*
Density functional theory data (PBE) for GaAg3Sn after structural relaxation.

```
GaAg3Sn
1.0
-4.362 -0.319 2.888
1.778 -4.413 2.199
2.298 2.810 3.780
Ga Sn Ag
1 1 3
direct
0.500 0.500 0.500
0.000 0.000 0.000
0.000 0.500 0.000
0.000 0.000 0.500
0.500 0.000 0.000
```

***

*two*
Density functional theory data (PBE) for GaAg3Sn after structural relaxation.

```
GaAg3Sn
1.0
-1.980 5.259 -2.617
-7.659 -2.035 -3.100
-5.918 2.855 5.409
Ga Ag Sn
4 12 4
direct
0.753 0.402 0.780
0.747 0.220 0.598
0.247 0.598 0.220
0.253 0.780 0.402
0.599 0.650 0.969
0.901 0.031 0.350
0.401 0.350 0.031
0.099 0.969 0.650
0.954 0.318 0.042
0.546 0.958 0.682
0.046 0.682 0.958
0.454 0.042 0.318
0.408 0.643 0.690
0.092 0.310 0.357
0.592 0.357 0.310
0.908 0.690 0.643
0.250 0.983 0.017
0.750 0.017 0.983
0.250 0.338 0.662
0.750 0.662 0.338
```

***

*three*
Density functional theory data (PBE) for GaAg3Sn after structural relaxation.

```
GaAg3Sn
1.0
-4.518 -0.306 -1.897
0.548 -4.851 -0.524
-1.842 -0.694 4.498
Ga Sn Ag
1 1 3
direct
0.000 0.000 0.000
0.500 0.500 0.500
0.000 0.500 0.000
0.000 0.000 0.500
0.500 0.000 0.000
```

***

*four*
Density functional theory data (PBE) for GaAg3Sn after structural relaxation.

```
GaAg3Sn
1.0
4.344 0.000 0.000
0.000 6.264 0.000
0.000 0.000 14.441
Ga Ag Sn
4 12 4
direct
0.750 0.776 0.897
0.250 0.224 0.103
0.750 0.276 0.603
0.250 0.724 0.397
0.250 0.554 0.578
0.750 0.446 0.422
0.250 0.054 0.922
0.750 0.946 0.078
0.250 0.653 0.020
0.750 0.347 0.980
0.250 0.153 0.480
0.750 0.847 0.520
0.750 0.642 0.710
0.250 0.358 0.290
0.750 0.142 0.790
0.250 0.858 0.210
0.750 0.526 0.173
0.250 0.474 0.827
0.750 0.026 0.327
0.250 0.974 0.673
```

***

From most stable to least stable, the computed energies give *four*, *two*, *three*, *one*.

***

*one*
Density functional theory data (PBE) for Ga4AgSn after structural relaxation.

```
Ga4AgSn
1.0
-2.834 -3.991 0.948
2.632 -0.284 6.672
-5.151 6.461 -1.310
Ga Ag Sn
8 2 2
direct
0.674 0.041 0.846
0.828 0.459 0.154
0.326 0.959 0.154
0.172 0.541 0.846
0.059 0.906 0.618
0.441 0.594 0.382
0.941 0.094 0.382
0.559 0.406 0.618
0.500 0.000 0.500
0.000 0.500 0.500
0.749 0.750 0.000
0.251 0.250 0.000
```

***

*two*
Density functional theory data (PBE) for Ga4AgSn after structural relaxation.

```
Ga4AgSn
1.0
-4.074 -2.631 2.800
1.178 -4.560 3.028
-0.157 0.236 5.592
Ga Sn Ag
4 1 1
direct
0.626 0.626 0.122
0.626 0.122 0.626
0.626 0.626 0.626
0.122 0.626 0.626
0.250 0.250 0.250
0.000 0.000 0.000
```

***

From most stable to least stable, the computed energies give *one*, *two*.